[1]
VASP calculation (GGA-PBE) on a geometry-optimized Pr2MgI structure.

Unit cell a=3.8032 b=3.8032 c=8.6420 alpha=90.00 beta=90.00 gamma=90.00
Closest atoms and distances in Å follow each position.
Space group P4/mmm (No. 123)
Unique sites:
Pr 0.0000 0.0000 0.2381 x2  4 Mg 3.39, 4 I 3.51
Mg 0.5000 0.5000 0.0000 x1  8 Pr 3.39
I 0.5000 0.5000 0.5000 x1  8 Pr 3.51, 4 I 3.80

Calculated values
The polymorph energy (0 for the lowest one) comes out at 0.00 eV per formula unit.

***

[2]
VASP calculation (GGA-PBE) on a geometry-optimized Pr2MgI structure.

Unit cell a=3.8649 b=3.8649 c=30.7597 alpha=90.00 beta=90.00 gamma=120.00
Closest atoms and distances in Å follow each position.
Space group R3m (No. 160, hexagonal axes)
Unique sites:
Pr 0.0000 0.0000 0.0000 x3  3 I 3.40, 3 Mg 3.40
Pr 0.0000 0.0000 0.1675 x3  3 I 3.38, 3 Mg 3.42
Mg 0.0000 0.0000 0.4167 x3  6 Pr 3.40-3.42
I 0.0000 0.0000 0.5833 x3  6 Pr 3.38-3.40

Calculated values
The polymorph energy (0 for the lowest one) comes out at 0.21 eV per formula unit.

***

[3]
VASP calculation (GGA-PBE) on a geometry-optimized Mg2PtI8 structure.

Unit cell a=15.3423 b=8.5672 c=7.2529 alpha=90.00 beta=92.75 gamma=90.00
Closest atoms and distances in Å follow each position.
Space group C2/m (No. 12)
Unique sites:
Mg 0.1553 0.0000 0.4470 x4  4 I 2.69-2.79
Pt 0.0000 0.0000 0.0000 x2  6 I 2.72-2.74
I 0.0660 0.2255 0.2347 x8  1 Pt 2.74, 1 Mg 2.79
I 0.1548 0.0000 0.8318 x4  1 Pt 2.72, 1 Mg 2.79
I 0.1697 0.5000 0.5694 x4  1 Mg 2.69

***

[4]
VASP calculation (GGA-PBE) on a geometry-optimized MgPt3I structure.

Unit cell a=4.9841 b=4.9841 c=4.9841 alpha=90.00 beta=90.00 gamma=90.00
Closest atoms and distances in Å follow each position.
Space group Pm-3m (No. 221)
Unique sites:
Mg 0.0000 0.0000 0.0000 x1  12 Pt 3.52
Pt 0.0000 0.5000 0.5000 x3  2 I 2.49
I 0.5000 0.5000 0.5000 x1  6 Pt 2.49

Calculated values
The polymorph energy (0 for the lowest one) comes out at 0.00 eV per formula unit.

***

no.,final energy (eV/f.u.)
1,-14.35
2,-14.14
3,-27.96
4,-17.20